Entry 1:
DFT (GGA-PBE) results for a relaxed Rb3NaLa crystal.

## Properties
DFT formation energy (eV/atom): 0.76
DOS(E_F) (states/eV per cell): 8.89

a b c (Å): 7.451 7.451 7.451
angles (deg): 90.00 90.00 90.00
Each line ends with the local moment (μB).
Atoms (fractional coordinates):
1 Na 0.500 0.500 0.500  0.02
2 Rb 0.500 0.000 0.000  -0.04
3 Rb 0.000 0.000 0.500  -0.05
4 La 0.000 0.000 0.000  -1.02
5 Rb 0.000 0.500 0.000  -0.04

Entry 2:
DFT (GGA-PBE) results for a relaxed RbNaLa2Ru crystal.

## Properties
DFT formation energy (eV/atom): 0.09
DOS(E_F) (states/eV per cell): 3.22
Excess energy over the best structure of this formula in the dataset (kJ/mol of atoms): 0.00

a b c (Å): 5.413 5.413 6.656
angles (deg): 90.00 90.00 90.00
Atoms (fractional coordinates):
1 La 0.000 0.500 0.000
2 Ru 0.000 0.000 0.000
3 La 0.500 0.000 0.000
4 Rb 0.500 0.500 0.500
5 Na 0.000 0.000 0.500

Entry 3:
DFT (GGA-PBE) results for a relaxed RbNaLa2Ru crystal.

## Properties
DFT formation energy (eV/atom): 0.14
DOS(E_F) (states/eV per cell): 2.98
Excess energy over the best structure of this formula in the dataset (kJ/mol of atoms): 5.23

a b c (Å): 5.382 5.382 7.082
angles (deg): 90.00 90.00 90.00
Atoms (fractional coordinates):
1 Ru 0.000 0.000 0.000
2 Rb 0.000 0.000 0.500
3 La 0.500 0.000 0.000
4 Na 0.500 0.500 0.500
5 La 0.000 0.500 0.000